The following is a PBE calculation of Ac3Tb2Nd after structural relaxation, from Alexandria.

Unit cell a=6.6079 b=6.6085 c=11.9864 alpha=100.37 beta=100.44 gamma=110.03
With the nearest neighbours (Å) after each atom.
Atoms (fractional coordinates):
1 Ac 0.0419 0.2916 0.0836  5 Tb 3.79-3.81, 3 Nd 3.79-3.81, 4 Ac 3.81
2 Ac 0.2919 0.0420 0.5838  5 Tb 3.79-3.81, 3 Nd 3.80-3.81, 4 Ac 3.81-3.82
3 Ac 0.3750 0.6247 0.7499  6 Tb 3.78-3.82, 2 Nd 3.79, 4 Ac 3.81
4 Ac 0.6250 0.3753 0.2501  6 Tb 3.78-3.82, 2 Nd 3.79, 4 Ac 3.81
5 Ac 0.7081 0.9580 0.4162  5 Tb 3.79-3.81, 3 Nd 3.80-3.81, 4 Ac 3.81-3.82
6 Ac 0.9581 0.7084 0.9164  5 Tb 3.79-3.81, 3 Nd 3.79-3.81, 4 Ac 3.81
7 Tb 0.2087 0.4587 0.4179  8 Ac 3.78-3.82, 2 Tb 3.79-3.80, 2 Nd 3.82
8 Tb 0.4590 0.2092 0.9177  8 Ac 3.78-3.82, 2 Tb 3.80, 2 Nd 3.81
9 Tb 0.5410 0.7908 0.0823  8 Ac 3.78-3.82, 2 Tb 3.80, 2 Nd 3.81
10 Tb 0.7913 0.5413 0.5821  8 Ac 3.78-3.82, 2 Tb 3.79-3.80, 2 Nd 3.82
11 Nd 0.1248 0.8748 0.2498  8 Ac 3.79-3.81, 4 Tb 3.81-3.82
12 Nd 0.8752 0.1252 0.7502  8 Ac 3.79-3.81, 4 Tb 3.81-3.82

Calculated values
- symmetry = No. 2
- size of the total moment (μB/f.u.) = 0.0
- VASP energy (eV per atom) = -4.33